Computed, not measured: an optimized crystal structure of KAs2SeI at the GGA-PBE level of DFT.

## Properties
Uncorrected formation energy (eV per atom): 1.26
Excess energy over the best structure of this formula in the dataset (kcal/mol of atoms): 16.723
VASP energy (eV/atom): -1.82

a b c (Å): 6.3048 6.3048 5.8910
angles (deg): 90.00 90.00 90.00
With the nearest neighbours (Å) after each atom.
Positions (direct):
K 0.0000 0.0000 0.0000  2 Se 2.95, 4 As 3.15
As 0.0000 0.5000 0.0000  2 K 3.15
As 0.5000 0.0000 0.0000  2 K 3.15
Se 0.0000 0.0000 0.5000  2 K 2.95
I 0.5000 0.5000 0.5000  8 As 4.31, 4 Se 4.46


Computed, not measured: an optimized crystal structure of Er8Hg3Sb2 at the GGA-PBE level of DFT.

## Properties
Uncorrected formation energy (eV per atom): -0.38
VASP energy (eV/atom): -3.89

a b c (Å): 8.4292 8.4292 6.2609
angles (deg): 90.09 90.09 59.24
With the nearest neighbours (Å) after each atom.
Positions (direct):
Er 0.0854 0.6761 0.1508  2 Hg 2.96-3.16, 2 Sb 3.03-3.08
Er 0.0913 0.0913 0.3535  1 Sb 3.07, 2 Hg 3.13, 1 Er 3.25
Er 0.3162 0.3162 0.5911  2 Hg 3.13, 2 Sb 3.14-3.30
Er 0.3239 0.9146 0.8492  2 Hg 2.96-3.16, 2 Sb 3.03-3.08
Er 0.6761 0.0854 0.1508  2 Hg 2.96-3.16, 2 Sb 3.03-3.08
Er 0.6838 0.6838 0.4089  2 Hg 3.13, 2 Sb 3.14-3.30
Er 0.9087 0.9087 0.6465  1 Sb 3.07, 2 Hg 3.13, 1 Er 3.25
Er 0.9146 0.3239 0.8492  2 Hg 2.96-3.16, 2 Sb 3.03-3.08
Hg 0.3216 0.6784 0.5000  6 Er 2.96-3.13, 1 Hg 2.97
Hg 0.5000 0.5000 0.0000  4 Er 3.16, 4 Hg 3.47, 2 Sb 3.49
Hg 0.6784 0.3216 0.5000  6 Er 2.96-3.13, 1 Hg 2.97
Sb 0.2644 0.2644 0.0774  7 Er 3.03-3.30
Sb 0.7356 0.7356 0.9226  7 Er 3.03-3.30


Computed, not measured: an optimized crystal structure of Ag2PRh at the GGA-PBE level of DFT.

## Properties
Formation enthalpy at 0 K (eV per atom): 0.2382
VASP energy (eV/atom): -4.38

a b c (Å): 3.7526 3.7526 4.5179
angles (deg): 90.00 90.00 90.00
With the nearest neighbours (Å) after each atom.
Positions (direct):
Ag 0.0000 0.5000 0.0000  4 Ag 2.65, 4 P 2.94, 4 Rh 2.94
Ag 0.5000 0.0000 0.0000  4 Ag 2.65, 4 P 2.94, 4 Rh 2.94
P 0.0000 0.0000 0.5000  4 Rh 2.65, 8 Ag 2.94
Rh 0.5000 0.5000 0.5000  4 P 2.65, 8 Ag 2.94


Computed, not measured: an optimized crystal structure of ZrTeIrPd2 at the GGA-PBE level of DFT.

## Properties
Uncorrected formation energy (eV per atom): 0.78
Excess energy over the best structure of this formula in the dataset (kcal/mol of atoms): 0.000
VASP energy (eV/atom): -5.41

a b c (Å): 4.9544 4.9544 4.8759
angles (deg): 90.00 90.00 90.00
With the nearest neighbours (Å) after each atom.
Positions (direct):
Zr 0.0000 0.0000 0.0000  2 Ir 2.44, 4 Pd 2.48
Te 0.5000 0.5000 0.5000  8 Pd 3.48, 4 Ir 3.50
Ir 0.0000 0.0000 0.5000  2 Zr 2.44
Pd 0.0000 0.5000 0.0000  2 Zr 2.48
Pd 0.5000 0.0000 0.0000  2 Zr 2.48


Computed, not measured: an optimized crystal structure of LaReRu2 at the GGA-PBE level of DFT.

## Properties
Formation enthalpy at 0 K (eV per atom): 0.6363
Excess energy over the best structure of this formula in the dataset (kcal/mol of atoms): 11.536
VASP energy (eV/atom): -8.35

a b c (Å): 3.0984 4.5924 5.0208
angles (deg): 90.00 90.00 90.00
With the nearest neighbours (Å) after each atom.
Positions (direct):
La 0.0000 0.0000 0.0000  4 Ru 2.77, 4 Re 2.95, 2 La 3.10
Re 0.5000 0.0000 0.5000  4 Ru 2.77, 4 La 2.95, 2 Re 3.10
Ru 0.0000 0.5000 0.5000  4 Re 2.77, 6 Ru 2.95-3.10
Ru 0.5000 0.5000 0.0000  4 La 2.77, 6 Ru 2.95-3.10


Computed, not measured: an optimized crystal structure of Ba5Cd3Pd3 at the GGA-PBE level of DFT.

## Properties
Formation enthalpy at 0 K (eV per atom): -0.3130
VASP energy (eV/atom): -2.85

a b c (Å): 9.8534 9.8534 5.3266
angles (deg): 90.00 90.00 120.00
With the nearest neighbours (Å) after each atom.
Positions (direct):
Ba 0.0000 0.7508 0.0000  2 Pd 3.26
Ba 0.2492 0.2492 0.0000  2 Pd 3.26
Ba 0.3333 0.6667 0.0000  3 Pd 3.10
Ba 0.6667 0.3333 0.0000  3 Pd 3.10
Ba 0.7508 0.0000 0.0000  2 Pd 3.26
Cd 0.0000 0.3779 0.5000  2 Pd 2.66
Cd 0.3779 0.0000 0.5000  2 Pd 2.66
Cd 0.6221 0.6221 0.5000  2 Pd 2.66
Pd 0.0000 0.3749 0.0000  2 Cd 2.66
Pd 0.3749 0.0000 0.0000  2 Cd 2.66
Pd 0.6251 0.6251 0.0000  2 Cd 2.66


Computed, not measured: an optimized crystal structure of TaReSb2 at the GGA-PBE level of DFT.

## Properties
Uncorrected formation energy (eV per atom): 0.04
Excess energy over the best structure of this formula in the dataset (kcal/mol of atoms): 0.000
VASP energy (eV/atom): -8.10

a b c (Å): 3.2093 3.2093 8.4499
angles (deg): 90.00 90.00 90.00
With the nearest neighbours (Å) after each atom.
Positions (direct):
Ta 0.0000 0.0000 0.0000  4 Re 2.72
Re 0.5000 0.5000 0.1781  4 Ta 2.72, 4 Sb 2.87
Sb 0.0000 0.0000 0.3862  4 Re 2.87, 4 Sb 3.21
Sb 0.5000 0.5000 0.7573  4 Ta 3.06, 4 Sb 3.21


Computed, not measured: an optimized crystal structure of Fe3TcOs at the GGA-PBE level of DFT.

## Properties
Formation enthalpy at 0 K (eV per atom): 1.7683
Excess energy over the best structure of this formula in the dataset (kcal/mol of atoms): 0.000
VASP energy (eV/atom): -7.63

a b c (Å): 4.4276 4.4276 4.4276
angles (deg): 90.00 90.00 90.00
With the nearest neighbours (Å) after each atom.
Positions (direct):
Fe 0.0000 0.0000 0.5000  2 Os 2.21
Fe 0.0000 0.5000 0.0000  2 Os 2.21
Fe 0.5000 0.0000 0.0000  2 Os 2.21
Tc 0.5000 0.5000 0.5000  12 Fe 3.13
Os 0.0000 0.0000 0.0000  6 Fe 2.21


Computed, not measured: an optimized crystal structure of Ho2HfTl3S6 at the GGA-PBE level of DFT.

## Properties
Uncorrected formation energy (eV per atom): -1.35
VASP energy (eV/atom): -5.60

a b c (Å): 6.6828 6.6828 8.4445
angles (deg): 97.92 97.92 120.06
With the nearest neighbours (Å) after each atom.
Positions (direct):
Ho 0.1668 0.8332 0.0000  6 S 2.72
Ho 0.8332 0.1668 0.0000  6 S 2.72
Hf 0.5000 0.5000 0.0000  6 S 2.57
Tl 0.0000 0.0000 0.5000  6 S 3.36-3.53
Tl 0.3359 0.6641 0.5000  6 S 3.35-3.50
Tl 0.6641 0.3359 0.5000  6 S 3.35-3.50
S 0.1216 0.4369 0.8190  1 Hf 2.57, 2 Ho 2.72
S 0.2477 0.2477 0.1811  1 Hf 2.57, 2 Ho 2.72
S 0.4369 0.1216 0.8190  1 Hf 2.57, 2 Ho 2.72
S 0.5631 0.8784 0.1810  1 Hf 2.57, 2 Ho 2.72
S 0.7523 0.7523 0.8189  1 Hf 2.57, 2 Ho 2.72
S 0.8784 0.5631 0.1810  1 Hf 2.57, 2 Ho 2.72


Computed, not measured: an optimized crystal structure of YScO3 at the GGA-PBE level of DFT.

## Properties
Uncorrected formation energy (eV per atom): -3.52
VASP energy (eV/atom): -9.06

a b c (Å): 5.7587 7.9828 5.4707
angles (deg): 90.00 90.00 90.00
With the nearest neighbours (Å) after each atom.
Positions (direct):
Y 0.0623 0.2500 0.0197  4 O 2.24-2.34
Y 0.4377 0.7500 0.5197  4 O 2.24-2.34
Y 0.5623 0.2500 0.4803  4 O 2.24-2.34
Y 0.9377 0.7500 0.9803  4 O 2.24-2.34
Sc 0.0000 0.0000 0.5000  6 O 2.10-2.14
Sc 0.0000 0.5000 0.5000  6 O 2.10-2.14
Sc 0.5000 0.0000 0.0000  6 O 2.10-2.14
Sc 0.5000 0.5000 0.0000  6 O 2.10-2.14
O 0.0574 0.7500 0.3702  2 Sc 2.14, 2 Y 2.24-2.34
O 0.1943 0.5681 0.8082  2 Sc 2.10-2.12, 1 Y 2.28
O 0.1943 0.9319 0.8082  2 Sc 2.10-2.12, 1 Y 2.28
O 0.3057 0.0681 0.3082  2 Sc 2.10-2.12, 1 Y 2.28
O 0.3057 0.4319 0.3082  2 Sc 2.10-2.12, 1 Y 2.28
O 0.4426 0.2500 0.8702  2 Sc 2.14, 2 Y 2.24-2.34
O 0.5574 0.7500 0.1298  2 Sc 2.14, 2 Y 2.24-2.34
O 0.6943 0.5681 0.6918  2 Sc 2.10-2.12, 1 Y 2.28
O 0.6943 0.9319 0.6918  2 Sc 2.10-2.12, 1 Y 2.28
O 0.8057 0.0681 0.1918  2 Sc 2.10-2.12, 1 Y 2.28
O 0.8057 0.4319 0.1918  2 Sc 2.10-2.12, 1 Y 2.28
O 0.9426 0.2500 0.6298  2 Sc 2.14, 2 Y 2.24-2.34


Computed, not measured: an optimized crystal structure of Y2Zn2Ru at the GGA-PBE level of DFT.

## Properties
Formation enthalpy at 0 K (eV per atom): -0.3545
Excess energy over the best structure of this formula in the dataset (kcal/mol of atoms): 0.000
VASP energy (eV/atom): -5.30

a b c (Å): 5.6154 5.6154 11.0954
angles (deg): 109.87 109.87 40.93
With the nearest neighbours (Å) after each atom.
Positions (direct):
Y 0.0017 0.0017 0.3354  3 Ru 2.92-3.12, 7 Zn 3.08-3.24
Y 0.1965 0.1965 0.1269  2 Ru 2.85, 3 Zn 2.99-3.02
Y 0.8035 0.8035 0.8731  2 Ru 2.85, 3 Zn 2.99-3.02
Y 0.9983 0.9983 0.6646  3 Ru 2.92-3.12, 7 Zn 3.08-3.24
Zn 0.3319 0.3319 0.4518  3 Ru 2.57-2.73
Zn 0.4750 0.4750 0.1074  1 Ru 2.61, 1 Zn 2.62
Zn 0.5250 0.5250 0.8926  1 Ru 2.61, 1 Zn 2.62
Zn 0.6681 0.6681 0.5482  3 Ru 2.57-2.73
Ru 0.3021 0.3021 0.6865  4 Zn 2.57-2.73, 2 Y 2.85
Ru 0.6979 0.6979 0.3135  4 Zn 2.57-2.73, 2 Y 2.85


Computed, not measured: an optimized crystal structure of Pm3BiPt at the GGA-PBE level of DFT.

## Properties
Formation enthalpy at 0 K (eV per atom): -0.5465
Excess energy over the best structure of this formula in the dataset (kcal/mol of atoms): 0.967
VASP energy (eV/atom): -5.38

a b c (Å): 7.4462 7.4486 8.3652
angles (deg): 116.31 90.06 119.99
With the nearest neighbours (Å) after each atom.
Positions (direct):
Pm 0.0000 0.0000 0.0000  2 Pt 2.77-2.91
Pm 0.0005 0.4789 0.0010  2 Pt 2.77-2.91
Pm 0.1941 0.3478 0.5430  2 Pt 2.79-2.91
Pm 0.1948 0.8692 0.5439  2 Pt 2.78-2.90
Pm 0.5214 0.0000 0.0008  2 Pt 2.77-2.91
Pm 0.6739 0.3484 0.5441  2 Pt 2.78-2.91
Bi 0.4828 0.4454 0.9297  9 Pm 3.45-3.77
Bi 0.7090 0.8982 0.6072  9 Pm 3.49-3.76
Pt 0.0981 0.6751 0.7740  6 Pm 2.77-2.79
Pt 0.2596 0.9985 0.2587  6 Pm 2.90-2.91


Computed, not measured: an optimized crystal structure of Mg2TaW at the GGA-PBE level of DFT.

## Properties
Formation enthalpy at 0 K (eV per atom): 0.3676
Excess energy over the best structure of this formula in the dataset (kcal/mol of atoms): 3.860
VASP energy (eV/atom): -6.63

a b c (Å): 5.6725 5.6725 4.5161
angles (deg): 113.28 113.28 33.17
With the nearest neighbours (Å) after each atom.
Positions (direct):
Mg 0.2435 0.2435 0.2435  4 Mg 2.78, 2 W 2.91, 2 Ta 3.01
Mg 0.7565 0.7565 0.7565  4 Mg 2.78, 2 W 2.91, 2 Ta 3.01
Ta 0.0000 0.0000 0.5000  4 W 2.78, 4 Mg 3.01
W 0.5000 0.5000 0.0000  4 Ta 2.78, 4 Mg 2.91